Computed, not measured: a geometry-optimized V2PdO6 structure at the GGA+U level of DFT.

Properties
E_tot, eV per atom: -6.97
DOS at the Fermi energy, states/eV/cell: 3.5
Space group: No. 12
Distance to the lowest polymorph of the same formula, kcal/mol of atoms: 0.87

Cell: 3.648 5.057 6.768 Å, 65.39 74.36 68.86°
Sites, in units of the cell vectors:
Pd  0.000  0.500  0.500
O  0.660  0.293  0.388
O  0.697  0.677  0.928
O  0.025  0.162  0.789
O  0.975  0.838  0.211
V  0.190  0.765  0.856
O  0.340  0.707  0.612
V  0.810  0.235  0.144
O  0.303  0.323  0.072